{
  "formula": "Tb8Ho4Mg",
  "functional": "PBE",
  "state": "optimized geometry",
  "spacegroup": "R-3m, No. 166",
  "formation_energy_ev_per_fu": 2.5,
  "lattice": [[3.551, 2.050, 9.599], [-3.551, 2.050, 9.599], [0.000, -4.100, 9.599]],
  "species": ["Tb", "Tb", "Tb", "Tb", "Tb", "Tb", "Tb", "Tb", "Ho", "Ho", "Ho", "Ho", "Mg"],
  "fractional_positions": [[0.213, 0.213, 0.213], [0.221, 0.746, 0.746], [0.254, 0.254, 0.779], [0.254, 0.779, 0.254], [0.746, 0.221, 0.746], [0.746, 0.746, 0.221], [0.779, 0.254, 0.254], [0.787, 0.787, 0.787], [0.000, 0.000, 0.000], [0.000, 0.500, 0.500], [0.500, 0.000, 0.500], [0.500, 0.500, 0.000], [0.500, 0.500, 0.500]]
}

{
  "formula": "HfThPt2",
  "functional": "PBE",
  "state": "optimized geometry",
  "spacegroup": "P4/mmm, No. 123",
  "e_above_lowest_polymorph_kj_per_mol_atoms": 12.8,
  "formation_energy_ev_per_fu": -4.1,
  "lattice": [[3.381, 0.000, 0.000], [0.000, 3.381, 0.000], [0.000, 0.000, 7.330]],
  "species": ["Hf", "Th", "Pt", "Pt"],
  "fractional_positions": [[0.000, 0.000, 0.000], [0.000, 0.000, 0.500], [0.500, 0.500, 0.205], [0.500, 0.500, 0.795]]
}

{
  "formula": "Tl2VPbCl",
  "functional": "PBE",
  "state": "optimized geometry",
  "spacegroup": "P4/mmm, No. 123",
  "formation_energy_uncorrected_ev_per_fu": 1.0,
  "lattice": [[5.576, 0.000, 0.000], [0.000, 5.576, 0.000], [0.000, 0.000, 5.513]],
  "species": ["Tl", "Tl", "V", "Pb", "Cl"],
  "fractional_positions": [[0.000, 0.500, 0.000], [0.500, 0.000, 0.000], [0.000, 0.000, 0.000], [0.000, 0.000, 0.500], [0.500, 0.500, 0.500]]
}

{
  "formula": "BaLiZn2Au",
  "functional": "PBE",
  "state": "optimized geometry",
  "spacegroup": "P4/mmm, No. 123",
  "formation_energy_ev_per_fu": -1.3,
  "lattice": [[5.016, 0.000, 0.000], [0.000, 5.016, 0.000], [0.000, 0.000, 5.073]],
  "species": ["Ba", "Li", "Zn", "Zn", "Au"],
  "fractional_positions": [[0.000, 0.000, 0.000], [0.500, 0.500, 0.000], [0.000, 0.500, 0.500], [0.500, 0.000, 0.500], [0.500, 0.500, 0.500]]
}

Calculated total DFT energy (no corrections), -54.5 -33.6 -18.4 -11.0 eV for the cell shown (same order as the records).